[1]
NdTh4Se5: relaxed, GGA-PBE.

Summary:
The raw formation energy is -16.03 eV per formula unit. Its space group is No. 71. As for the crystal system: orthorhombic. The value obtained for the density of states at the Fermi level is 0.618 states/eV/atom. The calculation puts the total energy at -6.790 eV/atom. The value obtained for the total magnetization is 0.00 μB/f.u.

abc: 4.222 5.953 11.098
angles: 105.56 100.96 90.00
Sites, in units of the cell vectors:
Nd: 0.000 0.000 0.000
Th: 0.201 0.201 0.403
Se: 0.199 0.699 0.399
Se: 0.801 0.301 0.601
Se: 0.600 0.100 0.201
Th: 0.600 0.600 0.201
Th: 0.400 0.400 0.799
Se: 0.000 0.500 0.000
Se: 0.400 0.900 0.799
Th: 0.799 0.799 0.597

[2]
NdTh2Se6: relaxed, GGA-PBE.

Summary:
The raw formation energy is -13.52 eV per formula unit. Its space group is No. 136. As for the crystal system: tetragonal. The value obtained for the density of states at the Fermi level is 0.734 states/eV/atom. The calculation puts the total energy at -6.004 eV/atom. The value obtained for the total magnetization is 0.00 μB/f.u.

abc: 6.846 6.846 13.263
angles: 90.00 90.00 90.00
Sites, in units of the cell vectors:
Se: 0.806 0.194 0.000
Se: 0.700 0.700 0.831
Se: 0.300 0.300 0.831
Nd: 0.500 0.500 0.000
Th: 0.500 0.500 0.333
Se: 0.800 0.200 0.669
Se: 0.700 0.700 0.169
Se: 0.200 0.800 0.331
Se: 0.200 0.800 0.669
Se: 0.194 0.806 0.000
Se: 0.800 0.200 0.331
Th: 0.000 0.000 0.833
Th: 0.500 0.500 0.667
Se: 0.300 0.300 0.169
Nd: 0.000 0.000 0.500
Se: 0.306 0.306 0.500
Se: 0.694 0.694 0.500
Th: 0.000 0.000 0.167